# VGa2Au (PBE, optimized geometry)
# SG: R3m (160)
# density: 9.11 Mg/m³
# final energy: -4.507 eV per atom
# D(E_F): 0.738 states/eV per atom
# DFT formation energy: 0.105 eV per atom
# size of the total moment: 0.8 μB per formula unit
# energy above the lowest structure with this stoichiometry: 0.247 eV/atom
data_VGa2Au
_cell_length_a 3.897
_cell_length_b 3.897
_cell_length_c 5.819
_cell_angle_alpha 70.44
_cell_angle_beta 70.44
_cell_angle_gamma 60.00
_symmetry_space_group_name_H-M 'P 1'
_symmetry_Int_Tables_number 1
loop_
_symmetry_equiv_pos_as_xyz
'x,y,z'
loop_
_atom_site_label
_atom_site_type_symbol
_atom_site_fract_x
_atom_site_fract_y
_atom_site_fract_z
_atom_site_occupancy
Au1 Au 0.496 0.496 0.513 1
Ga1 Ga 0.253 0.253 0.240 1
V1 V 0.673 0.673 0.981 1
Ga2 Ga 0.078 0.078 0.766 1